This record from Alexandria describes a relaxed structure of Sc4CoCu2Pd. The functional is PBE-GGA.

Results
The formation energy is -0.453 eV/atom. The density of states at the Fermi level comes out at 5.96 states/eV/cell. The mass density is 5.76 g cm⁻³. The uncorrected energy is -6.1805 eV per atom. The calculation puts the size of the total moment at 0.00 μB per atom.

abc: 4.5840 4.5840 7.9332
angles: 73.21 73.21 60.00
Last column: nearest neighbours and their distance in Å.
Element x y z (fractional)
Cu 0.7499 0.7499 0.7504  8 Sc 2.72-2.90
Cu 0.2501 0.2501 0.2496  8 Sc 2.72-2.90
Co 0.5000 0.5000 0.5000  8 Sc 2.71-2.78
Sc 0.1288 0.1288 0.6136  4 Cu 2.72-2.84, 3 Co 2.78, 1 Pd 2.89
Sc 0.8712 0.8712 0.3864  4 Cu 2.72-2.84, 3 Co 2.78, 1 Pd 2.89
Sc 0.6206 0.6206 0.1381  1 Co 2.71, 4 Cu 2.77-2.90, 3 Pd 2.84
Sc 0.3794 0.3794 0.8619  1 Co 2.71, 4 Cu 2.77-2.90, 3 Pd 2.84
Pd 0.0000 0.0000 0.0000  8 Sc 2.84-2.89

---

This record from Alexandria describes a relaxed structure of Ca6Pb3F. The functional is PBE-GGA.

Results
The density of states at the Fermi level comes out at 9.85 states/eV/cell. The mass density is 4.32 g cm⁻³. The uncorrected energy is -3.4151 eV per atom. The calculation puts the size of the total moment at 0.00 μB per atom.

abc: 7.3144 9.8745 9.8745
angles: 108.20 90.00 90.00
Last column: nearest neighbours and their distance in Å.
Element x y z (fractional)
Ca 0.7036 0.3118 0.3492  4 Pb 3.20-3.32
Ca 0.7036 0.6508 0.6882  4 Pb 3.20-3.32
Ca 0.2036 0.3492 0.3118  4 Pb 3.20-3.32
Ca 0.6902 0.5757 0.1080  1 F 2.42
Ca 0.1902 0.1080 0.5757  1 F 2.42
Ca 0.7033 0.2441 0.7559  1 F 2.37
Ca 0.2036 0.6882 0.6508  4 Pb 3.20-3.32
Ca 0.6902 0.8920 0.4243  1 F 2.42
Ca 0.2033 0.7559 0.2441  1 F 2.37
Ca 0.5999 0.9424 0.0576  1 F 2.47
Ca 0.0999 0.0576 0.9424  1 F 2.47
Ca 0.1902 0.4243 0.8920  1 F 2.42
Pb 0.9795 0.7328 0.9535  7 Ca 3.20-3.42
Pb 0.4182 0.3925 0.6075  7 Ca 3.16-3.22
Pb 0.4795 0.9535 0.7328  7 Ca 3.20-3.42
Pb 0.9182 0.6075 0.3925  7 Ca 3.16-3.22
Pb 0.4795 0.2672 0.0465  7 Ca 3.20-3.42
Pb 0.9795 0.0465 0.2672  7 Ca 3.20-3.42
F 0.5173 0.7927 0.2073  4 Ca 2.37-2.47
F 0.0173 0.2073 0.7927  4 Ca 2.37-2.47

---

This record from Alexandria describes a relaxed structure of SrPF. The functional is PBE-GGA.

Results
The density of states at the Fermi level comes out at 0.52 states/eV/cell. As for the excess energy over the best structure of this formula in the dataset: 139 meV per atom. The mass density is 3.48 g cm⁻³. The uncorrected energy is -5.1820 eV per atom. The calculation puts the size of the total moment at 0.00 μB per atom.

abc: 6.8171 3.5384 10.9342
angles: 90.00 94.64 90.00
Last column: nearest neighbours and their distance in Å.
Element x y z (fractional)
F 0.7732 0.5000 0.7687  4 Sr 2.52-2.56
F 0.8576 0.5000 0.0526  3 Sr 2.40-2.49
F 0.8576 0.0000 0.5526  3 Sr 2.40-2.49
F 0.7732 0.0000 0.2687  4 Sr 2.52-2.56
P 0.4445 0.5000 0.4294  2 P 2.28
P 0.2869 0.5000 0.8329  2 P 2.28
P 0.4445 0.0000 0.9294  2 P 2.28
P 0.2869 0.0000 0.3329  2 P 2.28
Sr 0.5552 0.0000 0.6653  3 F 2.49-2.52
Sr 0.9303 0.5000 0.4155  4 F 2.40-2.56
Sr 0.9303 0.0000 0.9155  4 F 2.40-2.56
Sr 0.5552 0.5000 0.1653  3 F 2.49-2.52

---

This record from Alexandria describes a relaxed structure of Ac2Mg3Ag. The functional is PBE-GGA.

Results
The formation energy is -0.118 eV/atom. The density of states at the Fermi level comes out at 5.36 states/eV/cell. As for the excess energy over the best structure of this formula in the dataset: 33 meV per atom. The mass density is 5.84 g cm⁻³. The uncorrected energy is -2.7596 eV per atom. The calculation puts the size of the total moment at 0.00 μB per atom.

abc: 3.7544 5.2753 9.1176
angles: 90.00 90.00 90.00
Last column: nearest neighbours and their distance in Å.
Element x y z (fractional)
Ac 0.0000 0.5000 0.0124  2 Ag 3.50, 10 Mg 3.54-3.70, 2 Ac 3.75
Ac 0.0000 0.0000 0.4894  8 Mg 3.47-3.64, 4 Ag 3.53, 2 Ac 3.75
Mg 0.5000 0.5000 0.6625  1 Ag 2.98, 2 Mg 3.05
Mg 0.5000 0.0000 0.1687  2 Ag 3.05, 1 Mg 3.08
Mg 0.5000 0.0000 0.8312  3 Mg 3.05-3.08
Ag 0.5000 0.5000 0.3358  3 Mg 2.98-3.05

---

This record from Alexandria describes a relaxed structure of KLiGa2. The functional is PBE-GGA.

Results
The formation energy is 0.056 eV/atom. The density of states at the Fermi level comes out at 2.65 states/eV/cell. As for the excess energy over the best structure of this formula in the dataset: 0 meV per atom. The mass density is 2.58 g cm⁻³. The uncorrected energy is -2.2107 eV per atom. The calculation puts the size of the total moment at 0.00 μB per atom.

abc: 4.9033 4.9033 10.5092
angles: 76.51 76.51 90.00
Last column: nearest neighbours and their distance in Å.
Element x y z (fractional)
Li 0.2500 0.7500 0.5000  4 Ga 2.78
Li 0.5000 0.5000 0.0000  4 Ga 2.78
K 0.7500 0.2500 0.5000  4 Li 3.47, 4 Ga 3.49
K 0.0000 0.0000 0.0000  4 Li 3.47, 4 Ga 3.49
Ga 0.3100 0.1250 0.2500  2 Ga 2.53, 2 Li 2.78
Ga 0.3750 0.6900 0.7500  2 Ga 2.53, 2 Li 2.78
Ga 0.8750 0.5600 0.7500  2 Ga 2.53, 2 Li 2.78
Ga 0.4400 0.6250 0.2500  2 Ga 2.53, 2 Li 2.78

---

This record from Alexandria describes a relaxed structure of NbAg2Cl8. The functional is PBE-GGA.

Results
The mass density is 2.78 g cm⁻³. The uncorrected energy is -3.5161 eV per atom. The calculation puts the size of the total moment at 0.09 μB per atom.

abc: 6.3618 7.5490 7.5490
angles: 80.80 82.92 82.92
Last column: nearest neighbours and their distance in Å.
Element x y z (fractional)
Cl 0.3390 0.5900 0.5900  1 Ag 2.40, 1 Cl 2.67
Cl 0.8752 0.8116 0.8116  1 Nb 2.43, 1 Ag 2.49
Cl 0.2521 0.7559 0.0982  1 Nb 2.38
Cl 0.1248 0.1884 0.1884  1 Nb 2.43, 1 Ag 2.49
Cl 0.6610 0.4100 0.4100  1 Ag 2.40, 1 Cl 2.67
Cl 0.7479 0.2441 0.9018  1 Nb 2.38
Cl 0.2521 0.0982 0.7559  1 Nb 2.38
Cl 0.7479 0.9018 0.2441  1 Nb 2.38
Ag 0.4917 0.2377 0.2377  2 Cl 2.40-2.49
Ag 0.5083 0.7623 0.7623  2 Cl 2.40-2.49
Nb 0.0000 0.0000 0.0000  6 Cl 2.38-2.43

---

This record from Alexandria describes a relaxed structure of Lu3Tl5S12. The functional is PBE-GGA.

Results
The density of states at the Fermi level comes out at 27.20 states/eV/cell. The mass density is 6.45 g cm⁻³. The uncorrected energy is -4.4304 eV per atom. The calculation puts the size of the total moment at 0.00 μB per atom.

abc: 13.7198 13.7198 13.7198
angles: 109.47 109.47 109.47
Last column: nearest neighbours and their distance in Å.
Element x y z (fractional)
Tl 0.7500 0.6250 0.3750  4 S 2.53
Tl 0.0000 0.0000 0.5000  6 S 2.70
Tl 0.0000 0.5000 0.5000  6 S 2.70
Tl 0.8750 0.6250 0.7500  4 S 2.53
Tl 0.0000 0.0000 0.0000  6 S 2.70
Tl 0.6250 0.8750 0.2500  4 S 2.53
Tl 0.5000 0.5000 0.5000  6 S 2.70
Tl 0.1250 0.7500 0.3750  4 S 2.53
Tl 0.6250 0.7500 0.8750  4 S 2.53
Tl 0.3750 0.1250 0.7500  4 S 2.53
Tl 0.5000 0.0000 0.0000  6 S 2.70
Tl 0.7500 0.1250 0.8750  4 S 2.53
Tl 0.1250 0.3750 0.2500  4 S 2.53
Tl 0.5000 0.5000 0.0000  6 S 2.70
Tl 0.3750 0.2500 0.1250  4 S 2.53
Tl 0.2500 0.8750 0.1250  4 S 2.53
Tl 0.0000 0.5000 0.0000  6 S 2.70
Tl 0.5000 0.0000 0.5000  6 S 2.70
Tl 0.2500 0.3750 0.6250  4 S 2.53
Tl 0.8750 0.2500 0.6250  4 S 2.53
S 0.1717 0.0857 0.9481  2 Tl 2.53-2.70
S 0.4139 0.1375 0.5857  2 Tl 2.53-2.70
S 0.6717 0.4481 0.5857  2 Tl 2.53-2.70
S 0.4481 0.6717 0.0857  2 Tl 2.53-2.70
S 0.8283 0.9139 0.2764  2 Tl 2.53-2.70
S 0.6717 0.2236 0.5861  2 Tl 2.53-2.70
S 0.3625 0.9481 0.7764  2 Tl 2.53-2.70
S 0.4481 0.7764 0.8625  2 Tl 2.53-2.70
S 0.2236 0.6717 0.0861  2 Tl 2.53-2.70
S 0.8625 0.5861 0.9143  2 Tl 2.53-2.70
S 0.0519 0.6375 0.7236  2 Tl 2.53-2.70
S 0.9143 0.0861 0.8625  2 Tl 2.53-2.70
S 0.9143 0.8283 0.5519  2 Tl 2.53-2.70
S 0.9481 0.3625 0.2764  2 Tl 2.53-2.70
S 0.5857 0.6375 0.4139  2 Tl 2.53-2.70
S 0.9139 0.0857 0.6375  2 Tl 2.53-2.70
S 0.8625 0.2764 0.4481  2 Tl 2.53-2.70
S 0.3283 0.5519 0.4143  2 Tl 2.53-2.70
S 0.5861 0.7236 0.6717  2 Tl 2.53-2.70
S 0.9139 0.8283 0.7764  2 Tl 2.53-2.70
S 0.9481 0.5857 0.1717  2 Tl 2.53-2.70
S 0.4143 0.3625 0.5861  2 Tl 2.53-2.70
S 0.6375 0.0519 0.2236  2 Tl 2.53-2.70
S 0.5519 0.3283 0.9143  2 Tl 2.53-2.70
S 0.7236 0.1375 0.0519  2 Tl 2.53-2.70
S 0.1375 0.7236 0.5519  2 Tl 2.53-2.70
S 0.1375 0.4139 0.0857  2 Tl 2.53-2.70
S 0.0861 0.1717 0.2236  2 Tl 2.53-2.70
S 0.3625 0.4143 0.0861  2 Tl 2.53-2.70
S 0.7764 0.4481 0.3625  2 Tl 2.53-2.70
S 0.0861 0.9143 0.3625  2 Tl 2.53-2.70
S 0.6375 0.5857 0.9139  2 Tl 2.53-2.70
S 0.5861 0.8625 0.4143  2 Tl 2.53-2.70
S 0.2764 0.8625 0.9481  2 Tl 2.53-2.70
S 0.7764 0.3283 0.9139  2 Tl 2.53-2.70
S 0.8283 0.9143 0.0519  2 Tl 2.53-2.70
S 0.4143 0.0519 0.3283  2 Tl 2.53-2.70
S 0.5519 0.2236 0.1375  2 Tl 2.53-2.70
S 0.2764 0.4139 0.8283  2 Tl 2.53-2.70
S 0.3283 0.7764 0.4139  2 Tl 2.53-2.70
S 0.4139 0.2764 0.3283  2 Tl 2.53-2.70
S 0.7236 0.5861 0.1717  2 Tl 2.53-2.70
S 0.5857 0.9481 0.6717  2 Tl 2.53-2.70
S 0.2236 0.5519 0.6375  2 Tl 2.53-2.70
S 0.0857 0.9139 0.1375  2 Tl 2.53-2.70
S 0.1717 0.0861 0.7236  2 Tl 2.53-2.70
S 0.0519 0.4143 0.8283  2 Tl 2.53-2.70
S 0.0857 0.1717 0.4481  2 Tl 2.53-2.70
Lu 0.3750 0.7500 0.6250  8 S 2.92
Lu 0.8750 0.1250 0.2500  8 S 2.92
Lu 0.8750 0.7500 0.1250  8 S 2.92
Lu 0.1250 0.2500 0.8750  8 S 2.92
Lu 0.6250 0.3750 0.7500  8 S 2.92
Lu 0.7500 0.3750 0.1250  8 S 2.92
Lu 0.7500 0.8750 0.6250  8 S 2.92
Lu 0.2500 0.1250 0.3750  8 S 2.92
Lu 0.2500 0.6250 0.8750  8 S 2.92
Lu 0.6250 0.2500 0.3750  8 S 2.92
Lu 0.3750 0.6250 0.2500  8 S 2.92
Lu 0.1250 0.8750 0.7500  8 S 2.92

---

This record from Alexandria describes a relaxed structure of CuSnS2. The functional is PBE-GGA.

Results
The density of states at the Fermi level comes out at 3.46 states/eV/cell. The mass density is 4.99 g cm⁻³. The uncorrected energy is -4.0866 eV per atom. The calculation puts the size of the total moment at 0.00 μB per atom.

abc: 8.1883 8.1883 8.1883
angles: 24.34 24.34 24.34
Last column: nearest neighbours and their distance in Å.
Element x y z (fractional)
S 0.8867 0.8867 0.8867  3 Cu 2.36
S 0.1133 0.1133 0.1133  3 Cu 2.36
Cu 0.5000 0.5000 0.5000  6 S 2.36
Sn 0.0000 0.0000 0.0000  2 S 2.70

---

This record from Alexandria describes a relaxed structure of Tc4C. The functional is PBE-GGA.

Results
The formation energy is 0.162 eV/atom. The density of states at the Fermi level comes out at 4.74 states/eV/cell. As for the excess energy over the best structure of this formula in the dataset: 0 meV per atom. The mass density is 10.12 g cm⁻³. The uncorrected energy is -9.9751 eV per atom. The calculation puts the size of the total moment at 0.00 μB per atom.

abc: 4.0468 4.0468 4.0468
angles: 90.00 90.00 90.00
Last column: nearest neighbours and their distance in Å.
Element x y z (fractional)
Tc 0.5000 0.5000 0.0000  2 C 2.02
Tc 0.0000 0.5000 0.5000  2 C 2.02
Tc 0.5000 0.0000 0.5000  2 C 2.02
Tc 0.0000 0.0000 0.0000  12 Tc 2.86
C 0.5000 0.5000 0.5000  6 Tc 2.02